1.
# GGA-PBE KScAl2, optimized geometry
# E_tot: -3.5114 eV/atom
# theoretical density: 2.4 g/cm³
# N(E_F): 0.57 states/eV/atom
data_KScAl2
_chemical_formula_sum 'K2 Sc2 Al4'
_cell_length_a 7.381
_cell_length_b 8.205
_cell_length_c 3.144
_cell_angle_alpha 90.00
_cell_angle_beta 90.00
_cell_angle_gamma 90.00
_space_group_name_H-M_alt 'C m m m'
_space_group_IT_number 65
_space_group_name_Hall '-C 2 2'
loop_
_atom_site_label
_atom_site_type_symbol
_atom_site_fract_x
_atom_site_fract_y
_atom_site_fract_z
_atom_site_occupancy
K1 K 0.000 0.000 0.000 1
Sc1 Sc 0.000 0.500 0.000 1
Al1 Al 0.250 0.250 0.500 1

***

2.
# GGA-PBE MgB2, optimized geometry
# E_tot: -4.8441 eV/atom
# theoretical density: 2.0 g/cm³
# N(E_F): 0.23 states/eV/atom
data_MgB2
_chemical_formula_sum 'Mg4 B8'
_cell_length_a 8.472
_cell_length_b 2.981
_cell_length_c 6.426
_cell_angle_alpha 90.00
_cell_angle_beta 110.79
_cell_angle_gamma 90.00
_space_group_name_H-M_alt 'C 1 2/m 1'
_space_group_IT_number 12
loop_
_space_group_symop_operation_xyz
'x,y,z'
'-x,-y,-z'
'-x,y,-z'
'x,-y,z'
'x+1/2,y+1/2,z'
'-x+1/2,-y+1/2,-z'
'-x+1/2,y+1/2,-z'
'x+1/2,-y+1/2,z'
loop_
_atom_site_label
_atom_site_type_symbol
_atom_site_fract_x
_atom_site_fract_y
_atom_site_fract_z
_atom_site_occupancy
Mg1 Mg 0.094 0.000 0.322 1
B1 B 0.095 0.500 0.990 1
B2 B 0.193 0.000 0.980 1

***

3.
# GGA-PBE RbPdIF2, optimized geometry
# E_tot: -2.7999 eV/atom
# theoretical density: 3.9 g/cm³
# N(E_F): 1.63 states/eV/atom
data_RbPdIF2
_chemical_formula_sum 'Rb1 Pd1 I1 F2'
_cell_length_a 4.529
_cell_length_b 4.529
_cell_length_c 7.424
_cell_angle_alpha 90.00
_cell_angle_beta 90.00
_cell_angle_gamma 90.00
_space_group_name_H-M_alt 'P 4/m m m'
_space_group_IT_number 123
_space_group_name_Hall '-P 4 2'
loop_
_atom_site_label
_atom_site_type_symbol
_atom_site_fract_x
_atom_site_fract_y
_atom_site_fract_z
_atom_site_occupancy
Rb1 Rb 0.000 0.000 0.000 1
Pd1 Pd 0.000 0.000 0.500 1
I1 I 0.500 0.500 0.500 1
F1 F 0.000 0.500 0.000 1

***

4.
# GGA-PBE GdCdCuRh, optimized geometry
# E_tot: -6.9387 eV/atom
# theoretical density: 9.5 g/cm³
# N(E_F): 0.56 states/eV/atom
data_GdCdCuRh
_chemical_formula_sum 'Gd4 Cd4 Cu4 Rh4'
_cell_length_a 6.725
_cell_length_b 6.725
_cell_length_c 6.725
_cell_angle_alpha 90.00
_cell_angle_beta 90.00
_cell_angle_gamma 90.00
_space_group_name_H-M_alt 'F -4 3 m'
_space_group_IT_number 216
_space_group_name_Hall 'F -4 2 3'
loop_
_atom_site_label
_atom_site_type_symbol
_atom_site_fract_x
_atom_site_fract_y
_atom_site_fract_z
_atom_site_occupancy
Gd1 Gd 0.000 0.000 0.000 1
Cd1 Cd 0.000 0.000 0.500 1
Cu1 Cu 0.250 0.250 0.750 1
Rh1 Rh 0.250 0.250 0.250 1

***

5.
# GGA-PBE RbTi2Se4, optimized geometry
# E_tot: -5.4374 eV/atom
# theoretical density: 4.9 g/cm³
# N(E_F): 0.62 states/eV/atom
data_RbTi2Se4
_chemical_formula_sum 'Rb4 Ti8 Se16'
_cell_length_a 3.823
_cell_length_b 13.102
_cell_length_c 13.414
_cell_angle_alpha 90.00
_cell_angle_beta 90.00
_cell_angle_gamma 90.00
_space_group_name_H-M_alt 'C m c m'
_space_group_IT_number 63
_space_group_name_Hall '-C 2c 2'
loop_
_atom_site_label
_atom_site_type_symbol
_atom_site_fract_x
_atom_site_fract_y
_atom_site_fract_z
_atom_site_occupancy
Rb1 Rb 0.000 0.107 0.250 1
Ti1 Ti 0.000 0.370 0.068 1
Se1 Se 0.000 0.000 0.000 1
Se2 Se 0.000 0.261 0.597 1
Se3 Se 0.000 0.404 0.250 1

***

6.
# GGA-PBE NiAu2, optimized geometry
# E_tot: -4.0356 eV/atom
# theoretical density: 15.9 g/cm³
# N(E_F): 0.94 states/eV/atom
data_NiAu2
_chemical_formula_sum 'Ni4 Au8'
_cell_length_a 9.570
_cell_length_b 2.839
_cell_length_c 7.588
_cell_angle_alpha 90.00
_cell_angle_beta 113.66
_cell_angle_gamma 90.00
_space_group_name_H-M_alt 'C 1 2/m 1'
_space_group_IT_number 12
loop_
_space_group_symop_operation_xyz
'x,y,z'
'-x,-y,-z'
'-x,y,-z'
'x,-y,z'
'x+1/2,y+1/2,z'
'-x+1/2,-y+1/2,-z'
'-x+1/2,y+1/2,-z'
'x+1/2,-y+1/2,z'
loop_
_atom_site_label
_atom_site_type_symbol
_atom_site_fract_x
_atom_site_fract_y
_atom_site_fract_z
_atom_site_occupancy
Ni1 Ni 0.188 0.000 0.082 1
Au1 Au 0.004 0.500 0.211 1
Au2 Au 0.165 0.000 0.594 1

***

7.
# GGA-PBE CaAl2Zn, optimized geometry
# E_tot: -2.7979 eV/atom
# theoretical density: 3.2 g/cm³
# N(E_F): 0.29 states/eV/atom
data_CaAl2Zn
_chemical_formula_sum 'Ca1 Al2 Zn1'
_cell_length_a 3.395
_cell_length_b 3.395
_cell_length_c 7.143
_cell_angle_alpha 90.00
_cell_angle_beta 90.00
_cell_angle_gamma 90.00
_space_group_name_H-M_alt 'P 4/m m m'
_space_group_IT_number 123
_space_group_name_Hall '-P 4 2'
loop_
_atom_site_label
_atom_site_type_symbol
_atom_site_fract_x
_atom_site_fract_y
_atom_site_fract_z
_atom_site_occupancy
Ca1 Ca 0.000 0.000 0.000 1
Al1 Al 0.500 0.500 0.307 1
Zn1 Zn 0.000 0.000 0.500 1